The following is a DFT calculation (PBE with a Hubbard U) of a relaxed structure of MoRuIO2.

Cell lengths 3.971, 3.971, 5.850 Å; angles 90.00, 90.00, 90.00 degrees
Site moments in Bohr magnetons follow the coordinates.
Element x y z (fractional)
I 0.000 0.000 0.500  -0.03
Ru 0.000 0.000 0.000  0.20
Mo 0.500 0.500 0.500  3.95
O 0.000 0.500 0.000  0.07
O 0.500 0.000 0.000  0.07

## Properties
size of the total moment	4.9	μB per formula unit
space-group type	P4/mmm
final energy	-27.361	eV/cell
density	6.408	Mg/m³